No. 1
Tm2BiOsO8: relaxed, GGA-PBE.

formation energy without anion corrections = -2.1107 eV per atom
size of the total moment = 0.58 μB per formula unit
calculated volume = 14.06 Å³ per atom
crystal system = orthorhombic

Cell and atoms, written as POSCAR:
```
Tm2BiOsO8
1.0
4.9857 -0.0313 -0.0029
-0.0082 4.9851 -0.0054
0.0040 0.0075 6.7884
O Bi Os Tm
8 1 1 2
Cartesian
0.9160 4.0599 1.4247
0.9183 4.0643 5.3538
3.6294 3.6108 -0.0060
1.3522 1.3505 6.7861
4.0656 0.9013 5.3554
3.4143 3.3989 3.3884
4.0633 0.8970 1.4263
1.5673 1.5624 3.3917
0.0020 0.0037 3.3942
0.0000 0.0000 0.0000
2.4918 2.4826 5.0909
2.4897 2.4787 1.6892
```

---

No. 2
LiTbPm: relaxed, GGA-PBE.

size of the total moment = 0.00 μB per formula unit
energy relative to the elements = 2.4 kcal/mol of atoms
relative energy among the computed polymorphs = 52 meV/atom
calculated volume = 30.11 Å³ per atom
crystal system = trigonal

Cell and atoms, written as POSCAR:
```
LiTbPm
1.0
3.5236 0.0000 0.0000
-1.7618 3.0515 0.0000
0.0000 0.0000 8.4008
Pm Li Tb
1 1 1
Cartesian
1.7618 1.0172 2.7757
0.0000 0.0000 8.3808
0.0000 2.0344 5.6451
```

---

No. 3
Ca3MgAg2: relaxed, GGA-PBE.

size of the total moment = 0.00 μB per formula unit
energy relative to the elements = -5.4 kcal/mol of atoms
calculated volume = 27.46 Å³ per atom
crystal system = tetragonal

Cell and atoms, written as POSCAR:
```
Ca3MgAg2
1.0
3.7190 0.0000 0.0000
0.0000 3.7190 0.0000
0.0000 0.0000 11.9115
Ca Ag Mg
3 2 1
Cartesian
0.0000 0.0000 8.2032
0.0000 0.0000 0.0000
0.0000 0.0000 3.7083
1.8595 1.8595 1.8881
1.8595 1.8595 10.0235
1.8595 1.8595 5.9558
```

---

No. 4
AlAgPbF2: relaxed, GGA-PBE.

formation energy without anion corrections = -1.3929 eV per atom
size of the total moment = 0.00 μB per formula unit
calculated volume = 17.95 Å³ per atom
crystal system = tetragonal

Cell and atoms, written as POSCAR:
```
AlAgPbF2
1.0
3.8996 0.0000 0.0000
0.0000 5.9006 0.0000
0.0000 0.0000 3.8996
F Pb Ag Al
2 1 1 1
Cartesian
1.9498 0.0000 0.0000
0.0000 0.0000 1.9498
0.0000 2.9503 0.0000
1.9498 2.9503 1.9498
0.0000 0.0000 0.0000
```

---

No. 5
Ac2CdPd6: relaxed, GGA-PBE.

size of the total moment = 0.00 μB per formula unit
energy relative to the elements = -15.8 kcal/mol of atoms
relative energy among the computed polymorphs = 0 meV/atom
calculated volume = 21.23 Å³ per atom
crystal system = monoclinic

Cell and atoms, written as POSCAR:
```
Ac2CdPd6
1.0
-1.9727 -4.1730 4.1201
4.3270 1.6721 3.7602
-0.9959 4.3707 3.9450
Pd Cd Ac
6 1 2
Cartesian
-0.7449 -1.7536 4.1517
1.2947 -0.9632 5.9137
-1.2132 0.3083 6.0008
0.0637 2.8330 5.9116
2.1034 3.6233 7.6737
2.5717 1.5615 5.8245
0.0000 0.0000 0.0000
0.7225 1.1944 3.3678
0.6360 0.6753 8.4575
```

---

No. 6
MnBeRh: relaxed, GGA-PBE.

size of the total moment = 0.00 μB per formula unit
energy relative to the elements = -4.0 kcal/mol of atoms
relative energy among the computed polymorphs = 170 meV/atom
calculated volume = 10.99 Å³ per atom
crystal system = orthorhombic

Cell and atoms, written as POSCAR:
```
MnBeRh
1.0
-5.5473 -3.0520 0.0229
-0.3630 -0.5564 -2.6204
1.8887 -3.4289 0.4662
Be Mn Rh
2 2 2
Cartesian
0.3675 -1.3968 0.0521
-0.3757 -4.3508 -2.0044
-4.0391 -6.2458 -1.0949
-3.7415 -3.8887 -1.6368
-1.4104 -2.4985 -0.8610
-2.0112 -5.0120 -0.2430
```

---

No. 7
CrCuPb2: relaxed, GGA-PBE.

size of the total moment = 3.57 μB per formula unit
energy relative to the elements = 9.0 kcal/mol of atoms
relative energy among the computed polymorphs = 36 meV/atom
calculated volume = 21.66 Å³ per atom
crystal system = orthorhombic

Cell and atoms, written as POSCAR:
```
CrCuPb2
1.0
-4.2943 0.3901 0.8267
-0.5637 -3.4525 -1.2991
0.4751 -3.6800 4.2046
Cr Pb Cu
1 2 1
Cartesian
-0.1679 -4.1678 1.0947
-2.1400 -1.9681 1.4714
-0.1162 -6.7544 2.5836
-2.0917 -4.5508 2.9407
```

---

No. 8
AgB2Br8: relaxed, GGA-PBE.

formation energy without anion corrections = -0.3748 eV per atom
size of the total moment = 0.69 μB per formula unit
relative energy among the computed polymorphs = 0 meV/atom
calculated volume = 34.66 Å³ per atom
crystal system = monoclinic

Cell and atoms, written as POSCAR:
```
AgB2Br8
1.0
6.4796 -0.3196 -0.2734
0.4351 7.7021 0.0198
0.4351 1.2135 7.6059
Br B Ag
8 2 1
Cartesian
5.3763 5.2784 0.0939
4.3017 1.7597 1.5051
5.3763 0.9110 5.2001
1.6561 3.2641 2.7919
1.9735 3.3176 7.2585
3.0482 6.8363 5.8473
5.6937 5.3319 4.5605
1.9735 7.6850 2.1523
5.0352 6.7441 5.7684
2.3147 1.8519 1.5840
0.0000 0.0000 0.0000
```

---

No. 9
NaPuAgGe: relaxed, GGA-PBE.

size of the total moment = 5.44 μB per formula unit
energy relative to the elements = -0.7 kcal/mol of atoms
calculated volume = 22.67 Å³ per atom
crystal system = cubic

Cell and atoms, written as POSCAR:
```
NaPuAgGe
1.0
-3.7566 1.2510 -3.1228
-4.7562 -1.2006 1.1690
-3.2651 3.6148 1.3044
Ge Na Pu Ag
1 1 1 1
Cartesian
-2.9445 0.9163 -0.1624
-5.8889 1.8326 -0.3248
0.0000 0.0000 0.0000
-8.8334 2.7489 -0.4871
```

---

No. 10
NaTiSn2: relaxed, GGA-PBE.

size of the total moment = 0.00 μB per formula unit
energy relative to the elements = -3.0 kcal/mol of atoms
calculated volume = 23.09 Å³ per atom
crystal system = trigonal

Cell and atoms, written as POSCAR:
```
NaTiSn2
1.0
-1.0506 3.0836 0.2601
-0.5844 1.2839 2.9478
8.9071 4.6350 1.5585
Na Sn Ti
1 2 1
Cartesian
3.6360 4.5012 2.3833
5.6352 6.8128 3.5843
1.6369 2.1897 1.1823
0.0000 0.0000 0.0000
```

---

No. 11
ZnReAs2: relaxed, GGA-PBE.

size of the total moment = 0.00 μB per formula unit
energy relative to the elements = 8.8 kcal/mol of atoms
calculated volume = 18.55 Å³ per atom
crystal system = orthorhombic

Cell and atoms, written as POSCAR:
```
ZnReAs2
1.0
2.8953 -0.0046 0.0000
-1.3456 2.5637 0.0000
0.0000 0.0000 10.0035
As Re Zn
2 1 1
Cartesian
0.0000 0.0000 0.4190
0.0000 0.0000 4.5828
0.7749 1.2795 2.5009
0.7749 1.2795 7.5026
```

---

No. 12
Pr12Dy2Er5: relaxed, GGA-PBE.

size of the total moment = 0.00 μB per formula unit
energy relative to the elements = 3.0 kcal/mol of atoms
relative energy among the computed polymorphs = 29 meV/atom
calculated volume = 34.83 Å³ per atom
crystal system = monoclinic

Cell and atoms, written as POSCAR:
```
Pr12Dy2Er5
1.0
-8.2855 4.0800 -1.0230
-5.4614 -5.3304 -5.3010
-2.1632 -3.7832 6.8940
Pr Er Dy
12 5 2
Cartesian
-13.8904 -4.4685 0.6599
-9.8228 -0.0676 -0.2059
-8.5330 -4.3655 -2.1598
-9.1921 -3.3983 1.4074
-6.0874 -4.9661 0.7759
-10.3248 -6.4633 -0.0464
-5.5854 1.4296 0.6164
-7.3771 -0.6682 2.7297
-11.8920 -1.2410 2.3276
-2.0198 -0.5652 -0.0900
-6.7181 -1.6353 -0.8375
-4.0182 -3.7927 -1.7577
-1.0816 -1.8916 3.4470
-9.2361 -1.1976 -3.4626
-4.3699 -2.1523 1.8499
-11.5403 -2.8814 -1.2799
-6.6741 -3.8361 4.0326
-7.5181 1.5230 -2.1854
-6.2288 -2.7735 -4.1386
```

---

Q: Which formula does entry 5 have?
A: Ac2CdPd6